This record from the Alexandria database describes a geometry-optimized NaTaS2 structure. The functional is PBE.

Cell lengths 4.5223, 4.5223, 4.5223 Å; angles 60.00, 60.00, 60.00 degrees
Element x y z (fractional)
Na (0.0000, 0.0000, 0.0000)
Ta (0.5000, 0.5000, 0.5000)
S (0.2500, 0.2500, 0.2500)
S (0.7500, 0.7500, 0.7500)

Summary:
DFT total energy, eV per atom: -5.7918
Energy relative to the elements, uncorrected, meV/atom: -435